1.
A plane-wave DFT calculation with GGA-PBE was carried out for TeAuI2F after structural relaxation.

**DOS(E_F)**: 2.084 states/eV/atom
**Spin magnetization**: 1.4 μB/f.u.
**Excess energy over the best structure of this formula in the dataset**: 45 meV per atom

Unit cell a=5.583 b=5.583 c=5.526 alpha=90.00 beta=90.00 gamma=90.00
Each line ends with the local moment (μB).
Fractional positions:
I 0.000 0.500 0.000  0.04
I 0.500 0.000 0.000  0.04
Te 0.000 0.000 0.500  0.65
Au 0.000 0.000 0.000  0.03
F 0.500 0.500 0.500  0.04


2.
A plane-wave DFT calculation with GGA-PBE was carried out for BaGe3H after structural relaxation.

**DOS(E_F)**: 0.431 states/eV/atom
**Spin magnetization**: 0.0 μB/f.u.
**Excess energy over the best structure of this formula in the dataset**: 0 meV per atom

Unit cell a=4.684 b=4.684 c=4.684 alpha=90.00 beta=90.00 gamma=90.00
Fractional positions:
H 0.000 0.000 0.000
Ge 0.000 0.500 0.000
Ge 0.000 0.000 0.500
Ge 0.500 0.000 0.000
Ba 0.500 0.500 0.500


3.
A plane-wave DFT calculation with GGA-PBE was carried out for CaCd2 after structural relaxation.

**DOS(E_F)**: 0.575 states/eV/atom
**Calculated formation energy**: -325 meV/atom
**Spin magnetization**: 0.0 μB/f.u.

Unit cell a=6.083 b=6.083 c=9.597 alpha=90.00 beta=90.00 gamma=120.00
Fractional positions:
Ca 0.333 0.667 0.060
Ca 0.667 0.333 0.560
Ca 0.667 0.333 0.940
Ca 0.333 0.667 0.440
Cd 0.000 0.000 0.000
Cd 0.000 0.000 0.500
Cd 0.829 0.171 0.250
Cd 0.829 0.658 0.250
Cd 0.342 0.171 0.250
Cd 0.171 0.829 0.750
Cd 0.171 0.342 0.750
Cd 0.658 0.829 0.750


> What is the DOS(E_F) in the second record?

0.431 states/eV/atom


> Number 1 is which compound?

TeAuI2F